First-principles (PBE) data for an optimized crystal structure of YEr2Ni2B2N3, as listed in OQMD.

Total energy   -7.742 eV per atom

a b c (Å): 3.4554 3.4554 20.0009
angles (deg): 90.00 90.00 90.00
Closest atoms and distances in Å follow each position.
Space group I4/mmm (No. 139)
Asymmetric unit:
Y 0.0000 0.0000 0.0000 [2 per cell]  6 N 2.34-2.44
Er 0.0000 0.0000 0.3768 [4 per cell]  5 N 2.45-2.46
Ni 0.0000 0.5000 0.2500 [4 per cell]  4 B 2.11
B 0.0000 0.0000 0.1895 [4 per cell]  1 N 1.45
N 0.0000 0.0000 0.1168 [4 per cell]  1 B 1.45
N 0.0000 0.0000 0.5000 [2 per cell]  4 Y 2.44, 2 Er 2.46